DFT (GGA-PBE) results for a geometry-optimized La12NdEr7 structure.

abc: 19.5731 19.5731 6.3669
angles: 90.00 90.00 120.00
Space group R-3m (No. 166, hexagonal axes)
Symmetry-distinct sites (fractional):
La: 0.0000 0.4077 0.0000 (multiplicity 18)
La: 0.0964 0.5482 0.4792 (multiplicity 18)
Nd: 0.0000 0.0000 0.5000 (multiplicity 3)
Er: 0.0000 0.0000 0.0000 (multiplicity 3)
Er: 0.0827 0.1654 0.3022 (multiplicity 18)

Summary:
The total moment comes out at 0.000 μB/atom. As for the density of states at the Fermi level: 1.38 states/eV per atom. As for the density: 7.03 g cm⁻³. Its energy of formation from the pure elements is 0.21 eV/atom. The calculation puts the electronic total energy at -274.96 eV per cell. The calculation puts the polymorph energy (0 for the lowest one) at 0.335 eV/f.u.

DFT (GGA-PBE) results for a geometry-optimized ThSc2Cu structure.

abc: 3.4493 3.4493 27.7592
angles: 90.00 90.00 120.00
Space group R-3m (No. 166, hexagonal axes)
Symmetry-distinct sites (fractional):
Th: 0.0000 0.0000 0.0000 (multiplicity 3)
Sc: 0.0000 0.0000 0.2335 (multiplicity 6)
Cu: 0.0000 0.0000 0.5000 (multiplicity 3)

Summary:
The total moment comes out at 0.000 μB/atom. As for the density of states at the Fermi level: 1.25 states/eV per atom. As for the density: 6.71 g cm⁻³. Its energy of formation from the pure elements is 0.05 eV/atom. The calculation puts the electronic total energy at -71.89 eV per cell. The calculation puts the polymorph energy (0 for the lowest one) at 0.651 eV/f.u.